No. 1
# SrPtSe2 (PBE-GGA, optimized geometry)
data_SrPtSe2
_cell_length_a 3.9323
_cell_length_b 3.9323
_cell_length_c 25.9535
_cell_angle_alpha 90.00
_cell_angle_beta 90.00
_cell_angle_gamma 120.00
_space_group_name_H-M_alt 'R -3 m'
_space_group_IT_number 166
_space_group_name_Hall '-R 3 2"'
loop_
_atom_site_label
_atom_site_fract_x
_atom_site_fract_y
_atom_site_fract_z
Sr1 0.0000 0.0000 0.0000
Pt1 0.0000 0.0000 0.5000
Se1 0.0000 0.0000 0.1187
# Energy above the lowest structure with this stoichiometry, eV/atom: 0.608
# ΔE_f (raw), eV/atom: -0.40


No. 2
# Pu2NpRu4 (PBE-GGA, optimized geometry)
data_Pu2NpRu4
_cell_length_a 4.799
_cell_length_b 4.799
_cell_length_c 13.583
_cell_angle_alpha 90.00
_cell_angle_beta 90.00
_cell_angle_gamma 90.00
_space_group_name_H-M_alt 'I 4/m m m'
_space_group_IT_number 139
_space_group_name_Hall '-I 4 2'
loop_
_atom_site_label
_atom_site_fract_x
_atom_site_fract_y
_atom_site_fract_z
Pu1 0.000 0.000 0.139
Np1 0.000 0.000 0.500
Ru1 0.000 0.000 0.316
Ru2 0.000 0.500 0.000
# ΔE_f, eV per formula unit: 4.35


| no. | DFT total energy (eV per atom) | total moment (μB per atom) |
| --- | --- | --- |
| 1 | -4.077 | 0.00 |
| 2 | -10.623 | 1.49 |